Density functional theory data (PBEsol) for an optimized crystal structure of YSbRh2.

a b c (Å): 4.342 4.356 7.447
angles (deg): 90.00 90.00 90.00
Space group Immm (No. 71)
Unique sites:
Y1 0.000 0.000 0.000 [2 per cell]
Sb1 0.000 0.000 0.500 [2 per cell]
Rh1 0.000 0.500 0.249 [4 per cell]

Output
ΔE_f (raw): -16.610 kcal/mol of atoms
calculated volume: 70.44 Å³/f.u.